# PBE TlMoRu2, relaxed
data_TlMoRu2
_cell_length_a 5.850
_cell_length_b 5.850
_cell_length_c 5.850
_cell_angle_alpha 103.80
_cell_angle_beta 103.80
_cell_angle_gamma 121.53
_symmetry_space_group_name_H-M 'P 1'
_symmetry_Int_Tables_number 1
loop_
_symmetry_equiv_pos_as_xyz
'x,y,z'
loop_
_atom_site_label
_atom_site_fract_x
_atom_site_fract_y
_atom_site_fract_z
Tl1 0.000 0.000 0.000
Tl2 0.750 0.250 0.500
Mo1 0.250 0.750 0.500
Mo2 0.500 0.500 0.000
Ru1 0.177 0.125 0.552
Ru2 0.375 0.823 0.948
Ru3 0.573 0.625 0.448
Ru4 0.875 0.427 0.052
# VASP energy: -57.42 eV for the cell shown
# Mass density: 11.20 g cm⁻³
# Magnetic moment: 0.0 μB/cell

# PBE Be2OsRu, relaxed
data_Be2OsRu
_cell_length_a 3.956
_cell_length_b 3.956
_cell_length_c 3.956
_cell_angle_alpha 60.00
_cell_angle_beta 60.00
_cell_angle_gamma 60.00
_symmetry_space_group_name_H-M 'P 1'
_symmetry_Int_Tables_number 1
loop_
_symmetry_equiv_pos_as_xyz
'x,y,z'
loop_
_atom_site_label
_atom_site_fract_x
_atom_site_fract_y
_atom_site_fract_z
Be1 0.250 0.250 0.250
Be2 0.750 0.750 0.750
Os1 0.000 0.000 0.000
Ru1 0.500 0.500 0.500
# VASP energy: -28.39 eV for the cell shown
# Mass density: 11.73 g cm⁻³
# Magnetic moment: 0.0 μB/cell

# PBE UTiBi, relaxed
data_UTiBi
_cell_length_a 7.751
_cell_length_b 7.751
_cell_length_c 5.610
_cell_angle_alpha 91.21
_cell_angle_beta 91.21
_cell_angle_gamma 143.37
_symmetry_space_group_name_H-M 'P 1'
_symmetry_Int_Tables_number 1
loop_
_symmetry_equiv_pos_as_xyz
'x,y,z'
loop_
_atom_site_label
_atom_site_fract_x
_atom_site_fract_y
_atom_site_fract_z
U1 0.243 0.243 0.115
U2 0.757 0.757 0.885
Ti1 0.243 0.243 0.617
Ti2 0.757 0.757 0.383
Bi1 0.332 0.668 0.500
Bi2 0.668 0.332 0.500
# VASP energy: -41.91 eV for the cell shown
# Mass density: 8.19 g cm⁻³
# Magnetic moment: 4.9 μB/cell

# PBE Li5TlPd6, relaxed
data_Li5TlPd6
_cell_length_a 6.831
_cell_length_b 6.831
_cell_length_c 6.233
_cell_angle_alpha 90.12
_cell_angle_beta 90.12
_cell_angle_gamma 143.02
_symmetry_space_group_name_H-M 'P 1'
_symmetry_Int_Tables_number 1
loop_
_symmetry_equiv_pos_as_xyz
'x,y,z'
loop_
_atom_site_label
_atom_site_fract_x
_atom_site_fract_y
_atom_site_fract_z
Li1 0.000 0.000 0.000
Li2 0.332 0.668 0.500
Li3 0.335 0.665 0.000
Li4 0.665 0.335 0.000
Li5 0.668 0.332 0.500
Tl1 0.000 0.000 0.500
Pd1 0.172 0.827 0.763
Pd2 0.173 0.828 0.237
Pd3 0.499 0.499 0.230
Pd4 0.501 0.501 0.770
Pd5 0.827 0.172 0.763
Pd6 0.828 0.173 0.237
# VASP energy: -48.01 eV for the cell shown
# Mass density: 8.33 g cm⁻³
# Magnetic moment: 0.0 μB/cell